Entry 1:
VASP calculation (PBE) on LaDy4Te6 after structural relaxation.

Output
Formation energy from raw total energies (kJ/mol of formula units): -1499
DFT total energy (eV for the cell shown): -230.872

a b c (Å): 4.341 14.283 22.290
angles (deg): 90.00 90.00 90.00
Space group Cmcm (No. 63)
One atom of each set of equivalent atoms:
La (0.000, 0.155, 0.250) (multiplicity 4)
Dy (0.000, 0.091, 0.624) (multiplicity 8)
Dy (0.000, 0.356, 0.535) (multiplicity 8)
Te (0.000, 0.000, 0.000) (multiplicity 4)
Te (0.000, 0.178, 0.750) (multiplicity 4)
Te (0.000, 0.265, 0.093) (multiplicity 8)
Te (0.000, 0.450, 0.662) (multiplicity 8)

---

Entry 2:
VASP calculation (PBE) on YEr3Tl4Se8 after structural relaxation.

Output
Formation energy from raw total energies (kJ/mol of formula units): -2137
DFT total energy (eV for the cell shown): -238.935

a b c (Å): 8.3249 8.3249 23.3297
angles (deg): 90.00 90.00 120.00
Space group R-3m (No. 166, hexagonal axes)
One atom of each set of equivalent atoms:
Y (0.0000, 0.0000, 0.0000) (multiplicity 3)
Er (0.0000, 0.5000, 0.0000) (multiplicity 9)
Tl (0.0000, 0.0000, 0.5000) (multiplicity 3)
Tl (0.0000, 0.5000, 0.5000) (multiplicity 9)
Se (0.0000, 0.0000, 0.2660) (multiplicity 6)
Se (0.0022, 0.5011, 0.2656) (multiplicity 18)

---

Entry 3:
VASP calculation (PBE) on NdSc2Re after structural relaxation.

Output
DFT total energy (eV for the cell shown): -29.844

a b c (Å): 3.297 3.297 8.730
angles (deg): 90.00 90.00 90.00
Space group P4/mmm (No. 123)
One atom of each set of equivalent atoms:
Nd (0.000, 0.000, 0.000) (multiplicity 1)
Sc (0.500, 0.500, 0.323) (multiplicity 2)
Re (0.000, 0.000, 0.500) (multiplicity 1)

---

Entry 4:
VASP calculation (PBE) on CeSmPtRh after structural relaxation.

Output
Relative energy among the computed polymorphs (eV per atom): 0.000
DFT total energy (eV for the cell shown): -55.832

a b c (Å): 4.246 3.847 11.194
angles (deg): 90.00 90.00 90.00
Space group Amm2 (No. 38)
One atom of each set of equivalent atoms:
Ce (0.000, 0.000, 0.000) (multiplicity 2)
Sm (0.500, 0.000, 0.275) (multiplicity 2)
Pt (0.000, 0.000, 0.720) (multiplicity 2)
Rh (0.500, 0.000, 0.536) (multiplicity 2)